# 1
Entry from Alexandria: a relaxed structure of Ba2ReOsC (GGA-PBE).

Cell and atoms, written as CIF:
```
data_Ba2ReOsC
_space_group_name_H-M_alt 'P 4/m m m'
_space_group_IT_number 123
_space_group_name_Hall '-P 4 2'
_cell_length_a 5.8586
_cell_length_b 5.8586
_cell_length_c 3.8816
_cell_angle_alpha 90.00
_cell_angle_beta 90.00
_cell_angle_gamma 90.00
loop_
_atom_site_label
_atom_site_fract_x
_atom_site_fract_y
_atom_site_fract_z
_atom_site_occupancy
Ba1 0.0000 0.5000 0.0000 1
Re1 0.0000 0.0000 0.5000 1
Os1 0.5000 0.5000 0.5000 1
C1 0.5000 0.5000 0.0000 1
```

Results
* E_form: 1.172 eV per atom
* total moment: 3.40 μB per cell

=====

# 2
Entry from Alexandria: a relaxed structure of BaOsCSe2 (GGA-PBE).

Cell and atoms, written as CIF:
```
data_BaOsCSe2
_space_group_name_H-M_alt 'P 4/m m m'
_space_group_IT_number 123
_space_group_name_Hall '-P 4 2'
_cell_length_a 6.1848
_cell_length_b 6.1848
_cell_length_c 6.4012
_cell_angle_alpha 90.00
_cell_angle_beta 90.00
_cell_angle_gamma 90.00
loop_
_atom_site_label
_atom_site_fract_x
_atom_site_fract_y
_atom_site_fract_z
_atom_site_occupancy
Ba1 0.0000 0.0000 0.0000 1
Os1 0.0000 0.0000 0.5000 1
C1 0.5000 0.5000 0.5000 1
Se1 0.0000 0.5000 0.0000 1
```

Results
* ΔE_f (raw): 14.5 eV/f.u.
* total moment: 6.51 μB per cell

=====

# 3
Entry from Alexandria: a relaxed structure of BaOs2CSe (GGA-PBE).

Cell and atoms, written as CIF:
```
data_BaOs2CSe
_space_group_name_H-M_alt 'P 4/m m m'
_space_group_IT_number 123
_space_group_name_Hall '-P 4 2'
_cell_length_a 4.1221
_cell_length_b 4.1221
_cell_length_c 5.8103
_cell_angle_alpha 90.00
_cell_angle_beta 90.00
_cell_angle_gamma 90.00
loop_
_atom_site_label
_atom_site_fract_x
_atom_site_fract_y
_atom_site_fract_z
_atom_site_occupancy
Ba1 0.0000 0.0000 0.0000 1
Os1 0.0000 0.5000 0.5000 1
C1 0.0000 0.0000 0.5000 1
Se1 0.5000 0.5000 0.0000 1
```

Results
* ΔE_f (raw): 3.1 eV/f.u.
* total moment: 0.00 μB per cell

=====

Asked for DFT total energy across the records above, the calculation gives -6.1778, -2.9617, -6.8035 eV per atom in order.